# 1
# SrCa2Rh2

Crystalline SrCa2Rh2 at its relaxed geometry (PBE, Alexandria via LeMat-Bulk).

```
SrCa2Rh2
1.0
4.664 0.000 0.000
0.000 4.664 0.000
2.332 2.332 6.060
Sr Rh Ca
1 2 2
Cartesian
0.000 0.000 0.000
2.332 2.332 1.291
4.664 4.664 4.769
2.332 4.664 3.030
4.664 2.332 3.030
```

relative energy among the computed polymorphs: 66 meV per atom
V: 26.36 A^3/atom
DFT total energy: -4.25 eV per atom

=====

# 2
# VFeS2

Crystalline VFeS2 at its relaxed geometry (PBE, Alexandria via LeMat-Bulk).

```
VFeS2
1.0
0.000 2.948 2.948
2.948 0.000 2.948
2.948 2.948 0.000
S Fe V
2 1 1
Cartesian
1.474 1.474 1.474
4.421 4.421 4.421
2.948 2.948 2.948
0.000 0.000 0.000
```

energy relative to the elements, uncorrected: -0.22 eV/atom
V: 12.81 A^3/atom
DFT total energy: -6.68 eV per atom

=====

# 3
# Tb3Sm6Er2Pu

Crystalline Tb3Sm6Er2Pu at its relaxed geometry (PBE, Alexandria via LeMat-Bulk).

```
Tb3Sm6Er2Pu
1.0
-3.018 -3.425 -4.194
6.123 0.828 -0.500
0.768 -8.606 8.007
Tb Sm Er Pu
3 6 2 1
Cartesian
4.982 -4.185 2.888
-1.109 -7.019 0.426
1.937 -5.602 1.657
4.424 -7.734 3.105
1.408 -9.137 1.886
2.526 -4.078 -1.555
2.465 -2.066 1.427
-0.551 -3.469 0.208
1.348 -7.125 4.868
0.030 -2.007 -2.962
3.074 -0.591 -1.732
0.000 0.000 0.000
```

V: 32.15 A^3/atom
DFT total energy: -5.43 eV per atom

=====

# 4
# NaPuCu2Se4

Crystalline NaPuCu2Se4 at its relaxed geometry (PBE, Alexandria via LeMat-Bulk).

```
NaPuCu2Se4
1.0
-1.092 0.799 6.728
2.596 -3.537 4.341
3.740 3.195 3.728
Se Na Pu Cu
4 1 1 2
Cartesian
0.702 2.256 8.453
0.677 -1.205 5.645
5.068 1.295 6.061
4.041 -1.432 9.433
0.000 0.000 0.000
2.622 0.229 7.398
1.305 0.115 3.698
3.939 0.342 11.098
```

energy relative to the elements, uncorrected: -0.60 eV/atom
V: 22.45 A^3/atom
DFT total energy: -5.32 eV per atom

=====

# 5
# Ca5PbS6

Crystalline Ca5PbS6 at its relaxed geometry (PBE, Alexandria via LeMat-Bulk).

```
Ca5PbS6
1.0
-1.573 5.459 -4.202
-5.359 -1.769 -4.265
-6.672 1.171 2.032
Ca S Pb
5 6 1
Cartesian
-7.459 1.638 -4.995
-3.466 1.845 -4.234
-4.016 -0.196 -0.738
-8.015 -0.401 -1.495
-6.145 3.224 -1.440
-1.782 0.941 -2.173
-3.915 4.317 -2.798
-9.689 0.544 -3.638
-7.851 4.080 -3.620
-5.753 0.782 -2.815
-5.149 2.749 -6.294
0.000 0.000 0.000
```

energy relative to the elements, uncorrected: -1.87 eV/atom
V: 24.05 A^3/atom
DFT total energy: -5.08 eV per atom

=====

# 6
# Th5Zn4Ag

Crystalline Th5Zn4Ag at its relaxed geometry (PBE, Alexandria via LeMat-Bulk).

```
Th5Zn4Ag
1.0
-0.731 -2.085 2.915
3.569 -0.153 0.786
-1.665 15.316 10.539
Th Zn Ag
5 4 1
Cartesian
1.242 0.509 2.971
0.913 3.537 5.055
0.260 9.541 9.186
-0.069 12.569 11.269
0.587 6.539 7.120
-0.669 6.155 4.235
-0.996 9.161 6.304
-1.325 12.188 8.387
-0.340 3.128 2.152
0.000 0.000 0.000
```

V: 24.98 A^3/atom
DFT total energy: -4.65 eV per atom

=====

# 7
# KSrZn2Hg

Crystalline KSrZn2Hg at its relaxed geometry (PBE, Alexandria via LeMat-Bulk).

```
KSrZn2Hg
1.0
-4.863 2.145 -2.717
-4.338 -3.307 5.154
0.275 4.911 3.383
Sr Hg Zn K
1 1 2 1
Cartesian
-2.169 -1.654 2.577
-4.463 1.874 2.910
0.138 2.456 1.691
-2.432 1.072 -1.359
0.000 0.000 0.000
```

relative energy among the computed polymorphs: 245 meV per atom
V: 53.49 A^3/atom
DFT total energy: -0.50 eV per atom

=====

# 8
# Tb2Pu3NpTe6

Crystalline Tb2Pu3NpTe6 at its relaxed geometry (PBE, Alexandria via LeMat-Bulk).

```
Tb2Pu3NpTe6
1.0
-2.512 -0.313 3.563
0.284 -8.845 -0.578
8.822 2.400 3.748
Te Np Tb Pu
6 1 2 3
Cartesian
5.141 -2.232 3.427
5.294 -6.610 3.150
0.080 -2.208 -0.137
6.513 -4.550 6.871
1.453 -4.526 3.307
1.300 -0.148 3.584
-1.256 -0.157 1.782
4.001 -4.593 5.097
2.592 -2.165 1.637
3.842 -0.153 5.375
2.751 -6.605 1.359
-1.114 -4.579 1.493
```

energy relative to the elements, uncorrected: -1.08 eV/atom
V: 30.18 A^3/atom
DFT total energy: -8.08 eV per atom

=====

- The highest V belongs to which entry?
  KSrZn2Hg

=====

- What is the formula in the sixth record?
  Th5Zn4Ag

=====

- The highest V belongs to which entry?
  KSrZn2Hg